## PrGa2NiRh (PBE)

Data for PrGa2NiRh after structural relaxation.

Cell: 6.050 6.050 6.050 Å, 139.90 139.90 58.00°
Sites, in units of the cell vectors:
Pr1 0.000 0.000 0.000
Ga1 0.374 0.374 0.000
Ga2 0.626 0.626 0.000
Ni1 0.250 0.750 0.500
Rh1 0.750 0.250 0.500

Results
total DFT energy (no corrections) = -5.442 eV/atom
ΔE_f = -0.648 eV/atom
magnetization = 0.0 μB per formula unit